A plane-wave DFT calculation with GGA-PBE was carried out for Pm4SmPb2 after structural relaxation.

a b c (Å): 6.009 6.009 7.710
angles (deg): 112.94 112.94 90.00
Positions (direct):
Pb 0.632 0.632 0.264
Pb 0.368 0.368 0.736
Pm 0.250 0.750 0.500
Pm 0.750 0.250 0.500
Pm 0.500 0.000 0.000
Pm 0.000 0.500 0.000
Sm 0.000 0.000 0.000

Properties
* E_tot: -4.416 eV/atom
* DFT formation energy: 0.0319 eV per atom
* density: 8183 kg/m³

A plane-wave DFT calculation with GGA-PBE was carried out for Sm5YTl3 after structural relaxation.

a b c (Å): 6.854 9.527 9.530
angles (deg): 119.99 90.00 90.00
Last column: magnetic moment on the atom in μB.
Positions (direct):
Y 0.500 0.000 0.000  0.18
Y 0.000 0.000 0.000  0.18
Sm 0.500 0.333 0.667  0.23
Sm 0.000 0.333 0.667  0.23
Sm 0.000 0.667 0.333  0.23
Sm 0.500 0.667 0.333  0.23
Sm 0.750 0.339 0.000  0.13
Sm 0.250 0.000 0.661  0.13
Sm 0.250 0.661 0.000  0.13
Sm 0.250 0.339 0.339  0.13
Sm 0.750 0.661 0.661  0.13
Sm 0.750 0.000 0.339  0.13
Tl 0.250 0.674 0.675  0.00
Tl 0.250 0.000 0.325  0.00
Tl 0.750 0.000 0.675  0.00
Tl 0.250 0.325 0.000  0.00
Tl 0.750 0.675 0.000  0.00
Tl 0.750 0.326 0.325  0.00

Properties
* E_tot: -4.399 eV/atom
* DFT formation energy: -0.2706 eV per atom
* density: 8959 kg/m³

A plane-wave DFT calculation with GGA-PBE was carried out for NaMoOsN2 after structural relaxation.

a b c (Å): 3.896 5.248 3.896
angles (deg): 90.00 90.00 90.00
Last column: magnetic moment on the atom in μB.
Positions (direct):
N 0.500 0.000 0.000  0.12
N 0.000 0.000 0.500  0.10
Na 0.500 0.500 0.500  0.03
Mo 0.000 0.500 0.000  2.60
Os 0.000 0.000 0.000  -0.20

Properties
* E_tot: -6.662 eV/atom
* formation energy from raw total energies: 1.345 eV per atom
* density: 7028 kg/m³

A plane-wave DFT calculation with GGA-PBE was carried out for ErP2N4 after structural relaxation.

a b c (Å): 6.205 6.799 5.524
angles (deg): 74.45 58.20 52.01
Positions (direct):
P 0.439 0.097 0.308
P 0.871 0.820 0.657
P 0.283 0.327 0.831
P 0.458 0.686 0.177
N 0.425 0.844 0.391
N 0.090 0.773 0.305
N 0.687 0.133 0.710
N 0.581 0.776 0.832
N 0.113 0.637 0.806
N 0.189 0.274 0.166
N 0.675 0.398 0.187
N 0.200 0.249 0.644
Er 0.732 0.467 0.535
Er 0.007 0.019 0.950

Properties
* E_tot: -7.645 eV/atom
* formation energy from raw total energies: -0.690 eV per atom
* density: 6090 kg/m³

A plane-wave DFT calculation with GGA-PBE was carried out for Ba2LaRh after structural relaxation.

a b c (Å): 4.639 4.639 6.072
angles (deg): 90.00 90.00 90.00
Positions (direct):
Ba 0.500 0.000 0.000
Ba 0.000 0.500 0.000
La 0.500 0.500 0.500
Rh 0.000 0.000 0.500

Properties
* E_tot: -3.830 eV/atom
* DFT formation energy: 0.2014 eV per atom
* density: 6564 kg/m³
* excess energy over the best structure of this formula in the dataset: 0.535 eV per atom

A plane-wave DFT calculation with GGA-PBE was carried out for Ce3Pm2ThP6 after structural relaxation.

a b c (Å): 7.125 7.125 7.132
angles (deg): 99.58 99.58 120.00
Last column: magnetic moment on the atom in μB.
Positions (direct):
Th 0.000 0.000 0.000  0.02
P 0.085 0.416 0.254  -0.01
P 0.247 0.247 0.746  -0.01
P 0.753 0.753 0.254  -0.01
P 0.584 0.915 0.746  -0.01
P 0.416 0.085 0.254  -0.01
P 0.915 0.584 0.746  -0.01
Ce 0.167 0.833 0.500  0.48
Ce 0.833 0.167 0.500  0.48
Ce 0.500 0.500 0.500  0.49
Pm 0.333 0.667 0.000  0.01
Pm 0.667 0.333 0.000  0.01

Properties
* E_tot: -7.143 eV/atom
* DFT formation energy: -1.5447 eV per atom
* density: 6336 kg/m³